No. 1
{"formula": "SrCdGa2Fe", "functional": "PBE-GGA", "state": "relaxed", "lattice": [[4.6638, 0.0000, 0.0000], [0.0000, 4.6638, 0.0000], [0.0000, 0.0000, 5.0595]], "species": ["Sr", "Cd", "Ga", "Ga", "Fe"], "fractional_positions": [[0.0000, 0.0000, 0.0000], [0.5000, 0.5000, 0.0000], [0.0000, 0.5000, 0.5000], [0.5000, 0.0000, 0.5000], [0.5000, 0.5000, 0.5000]], "dos_ef_per_ev_cell": 2.0, "formation_enthalpy_0k_ev_per_atom": -0.204, "total_magnetization_mub_per_atom": 0.001}

No. 2
{"formula": "K2AgW", "functional": "PBE-GGA", "state": "relaxed", "lattice": [[6.0251, -1.4159, 0.0000], [6.0251, 1.4159, 0.0000], [-0.7291, 0.0000, 5.7400]], "species": ["K", "K", "Ag", "W"], "fractional_positions": [[0.2376, 0.2376, 0.2428], [0.7624, 0.7624, 0.7572], [0.5000, 0.5000, 0.0000], [0.0000, 0.0000, 0.5000]], "dos_ef_per_ev_cell": 2.7, "formation_enthalpy_0k_ev_per_atom": 1.305, "total_magnetization_mub_per_atom": 0.446}